Computed, not measured: a relaxed Na2GaWI crystal at the PBE level of DFT.

Unit cell a=5.909 b=5.909 c=5.075 alpha=90.00 beta=90.00 gamma=90.00
Fractional positions:
Na (0.000, 0.500, 0.000)
Na (0.500, 0.000, 0.000)
Ga (0.000, 0.000, 0.500)
W (0.500, 0.500, 0.000)
I (0.500, 0.500, 0.500)

Properties
Energy relative to the elements, uncorrected   1.17 eV per atom
Total DFT energy (no corrections)   -0.1054 hartree per atom
Space-group type   P4/mmm, No. 123